Compound: TlCuOs2
Source: Alexandria via LeMat-Bulk
Functional: GGA-PBE
Structure: relaxed

Values from the calculation:
- DOS(E_F): 0.9970 states/eV per atom
- Space-group type: Cmmm, No. 65
- Relative energy among the computed polymorphs: 496 meV per atom
- Formation energy from the elements: 4.0 eV per formula unit
- Calculated total energy: -6.23 eV/atom
- Magnetic moment: 0.000 μB per atom

```
data_TlCuOs2
_chemical_formula_sum 'Tl1 Cu1 Os2'
_space_group_name_H-M_alt 'P 1'
_space_group_IT_number 1
_space_group_name_Hall 'P 1'
_cell_length_a 2.785
_cell_length_b 2.785
_cell_length_c 9.708
_cell_angle_alpha 90.00
_cell_angle_beta 90.00
_cell_angle_gamma 118.81
loop_
_atom_site_label
_atom_site_fract_x
_atom_site_fract_y
_atom_site_fract_z
Tl1 0.000 0.000 0.000
Cu1 0.000 0.000 0.500
Os1 0.500 0.500 0.280
Os2 0.500 0.500 0.720
```